Rb2TiMnBr6: relaxed, PBE.

Unit cell a=10.677 b=10.677 c=10.677 alpha=90.00 beta=90.00 gamma=90.00
Space group Fm-3m (No. 225)
Unique sites:
Rb: 0.250 0.250 0.250 x8
Ti: 0.000 0.000 0.000 x4
Mn: 0.000 0.000 0.500 x4
Br: 0.000 0.000 0.248 x24

Output
The calculation puts the total magnetization at 4.7 μB/f.u. The density of states at the Fermi level comes out at 1.7175 states/eV/atom. The theoretical density comes out at 4.11 g/cm³. The total DFT energy (no corrections) is -4.060 eV/atom. The uncorrected formation energy is -1156.7 meV/atom.


SrVNi3: relaxed, PBE.

Unit cell a=4.690 b=4.690 c=4.690 alpha=90.00 beta=90.00 gamma=90.00
Space group Pm-3m (No. 221)
Unique sites:
Sr: 0.000 0.000 0.000 x1
V: 0.500 0.500 0.500 x1
Ni: 0.000 0.000 0.500 x3

Output
The calculation puts the total magnetization at 3.4 μB/f.u. As for the energy above the most stable polymorph in this dataset: 1434 meV/atom. The density of states at the Fermi level comes out at 2.1589 states/eV/atom. The formation enthalpy at 0 K comes out at 9.451 eV/f.u. The theoretical density comes out at 5.06 g/cm³. The total DFT energy (no corrections) is -3.739 eV/atom.